1.
Crystalline TlIn6Hg4 at its relaxed geometry. Source: Alexandria via LeMat-Bulk, functional GGA-PBE.

Computed properties:
**Crystal system**: triclinic
**Space group**: P-1, No. 2
**V**: 29.352 Å³ per atom

Lattice parameters (Å, degrees): 4.8389 4.8445 14.1223 98.93 99.02 90.12
Fractional coordinates of all 11 atoms:
Tl  0.0000  0.0000  0.0000
In  0.1168  0.6221  0.2337
In  0.2512  0.7482  0.4999
In  0.3786  0.8832  0.7666
In  0.6214  0.1168  0.2334
In  0.7488  0.2518  0.5001
In  0.8832  0.3779  0.7663
Hg  0.1866  0.1866  0.3690
Hg  0.4451  0.4445  0.8974
Hg  0.5549  0.5555  0.1026
Hg  0.8134  0.8134  0.6310

2.
Crystalline TlIn6Hg4 at its relaxed geometry. Source: Alexandria via LeMat-Bulk, functional GGA-PBE.

Computed properties:
**Crystal system**: hexagonal
**Space group**: P-6m2, No. 187
**V**: 28.016 Å³ per atom

Lattice parameters (Å, degrees): 8.8393 8.8393 4.5544 90.00 90.00 120.00
Fractional coordinates of all 11 atoms:
Tl  0.0000  0.0000  0.0000
In  0.1967  0.3934  0.5000
In  0.1967  0.8033  0.5000
In  0.5347  0.0694  0.0000
In  0.5347  0.4653  0.0000
In  0.6066  0.8033  0.5000
In  0.9306  0.4653  0.0000
Hg  0.3333  0.6667  0.0000
Hg  0.3777  0.1888  0.5000
Hg  0.8112  0.1888  0.5000
Hg  0.8112  0.6223  0.5000

Of them, 1 has the lowest stability.

1.
Crystalline Tl3In2Hg8 at its relaxed geometry. Source: Alexandria via LeMat-Bulk, functional GGA-PBE.

Computed properties:
**Crystal system**: triclinic
**Space group**: P-1, No. 2
**V**: 27.848 Å³ per atom

Lattice parameters (Å, degrees): 3.5105 8.5115 12.7452 104.69 97.89 94.87
Fractional coordinates of all 13 atoms:
Tl  0.0000  0.0000  0.0000
Tl  0.3695  0.9257  0.7539
Tl  0.6305  0.0743  0.2461
In  0.1209  0.7480  0.3020
In  0.8791  0.2520  0.6980
Hg  0.0778  0.3811  0.1570
Hg  0.2504  0.1567  0.4758
Hg  0.3134  0.5422  0.6118
Hg  0.4684  0.3152  0.9268
Hg  0.5316  0.6848  0.0732
Hg  0.6866  0.4578  0.3882
Hg  0.7496  0.8433  0.5242
Hg  0.9222  0.6189  0.8430

2.
Crystalline Tl3In2Hg8 at its relaxed geometry. Source: Alexandria via LeMat-Bulk, functional GGA-PBE.

Computed properties:
**Crystal system**: trigonal
**Space group**: R-3m, No. 166
**V**: 29.545 Å³ per atom

Lattice parameters (Å, degrees): 12.1977 12.1977 12.1977 29.28 29.28 29.28
Fractional coordinates of all 13 atoms:
Tl  0.0000  0.0000  0.0000
Tl  0.1837  0.1837  0.1837
Tl  0.8163  0.8163  0.8163
In  0.3604  0.3604  0.3604
In  0.6396  0.6396  0.6396
Hg  0.2292  0.7324  0.7324
Hg  0.2676  0.2676  0.7708
Hg  0.2676  0.7708  0.2676
Hg  0.2771  0.2771  0.2771
Hg  0.7229  0.7229  0.7229
Hg  0.7324  0.2292  0.7324
Hg  0.7324  0.7324  0.2292
Hg  0.7708  0.2676  0.2676

Of them, 2 has the lowest stability.

1.
Crystalline Tl2In3Hg3 at its relaxed geometry. Source: Alexandria via LeMat-Bulk, functional GGA-PBE.

Computed properties:
**Crystal system**: orthorhombic
**Space group**: Immm, No. 71
**V**: 27.423 Å³ per atom

Lattice parameters (Å, degrees): 9.8753 9.8753 9.8753 151.67 151.24 40.81
Fractional coordinates of all 8 atoms:
Tl  0.2467  0.2467  0.0000
Tl  0.7533  0.7533  0.0000
In  0.0000  0.0000  0.0000
In  0.3849  0.8849  0.5000
In  0.6151  0.1151  0.5000
Hg  0.1205  0.6205  0.5000
Hg  0.5000  0.5000  0.0000
Hg  0.8795  0.3795  0.5000

2.
Crystalline Tl2In3Hg3 at its relaxed geometry. Source: Alexandria via LeMat-Bulk, functional GGA-PBE.

Computed properties:
**Crystal system**: hexagonal
**Space group**: P-62m, No. 189
**V**: 28.534 Å³ per atom

Lattice parameters (Å, degrees): 8.4179 8.4179 3.7197 90.00 90.00 120.00
Fractional coordinates of all 8 atoms:
Tl  0.3333  0.6667  0.0000
Tl  0.6667  0.3333  0.0000
In  0.0000  0.7686  0.0000
In  0.2314  0.2314  0.0000
In  0.7686  0.0000  0.0000
Hg  0.0000  0.3634  0.5000
Hg  0.3634  0.0000  0.5000
Hg  0.6366  0.6366  0.5000

Of them, 2 has the lowest stability.